(one)
Compound: Pm2Y7Tm2
Source: the Alexandria database
Functional: GGA-PBE
Structure: optimized geometry

space-group type = No. 12
N(E_F) = 17.97 states/eV per cell

Unit cell a=6.062 b=8.680 c=8.680 alpha=84.38 beta=63.50 gamma=63.50
Atoms (fractional coordinates):
Y 0.000 0.000 0.000
Y 0.831 0.412 0.935
Y 0.377 0.408 0.408
Y 0.169 0.588 0.065
Y 0.623 0.592 0.592
Y 0.831 0.935 0.412
Y 0.169 0.065 0.588
Tm 0.118 0.232 0.232
Tm 0.882 0.768 0.768
Pm 0.500 0.789 0.211
Pm 0.500 0.211 0.789

***

(two)
Compound: Pm2Y7Tm2
Source: the Alexandria database
Functional: GGA-PBE
Structure: optimized geometry

space-group type = No. 12
N(E_F) = 19.92 states/eV per cell

Unit cell a=8.694 b=6.536 c=6.536 alpha=93.28 beta=81.58 gamma=81.58
Atoms (fractional coordinates):
Tm 0.854 0.395 0.395
Tm 0.146 0.605 0.605
Y 0.796 0.552 0.918
Y 0.204 0.448 0.082
Y 0.407 0.849 0.849
Y 0.204 0.082 0.448
Y 0.796 0.918 0.552
Y 0.000 0.000 0.000
Y 0.593 0.151 0.151
Pm 0.500 0.322 0.678
Pm 0.500 0.678 0.322

***

The structure with the most favorable energy is (two); the runner-up is 53 meV per atom above it.

***

(one)
Compound: PmY6Tm8
Source: the Alexandria database
Functional: GGA-PBE
Structure: optimized geometry

space-group type = No. 148
N(E_F) = 24.25 states/eV per cell

Unit cell a=6.155 b=6.155 c=14.711 alpha=77.92 beta=77.92 gamma=60.00
Atoms (fractional coordinates):
Y 0.402 0.734 0.796
Y 0.068 0.402 0.796
Y 0.598 0.266 0.204
Y 0.266 0.932 0.204
Y 0.734 0.068 0.796
Y 0.932 0.598 0.204
Tm 0.467 0.134 0.597
Tm 0.801 0.467 0.597
Tm 0.134 0.801 0.597
Tm 0.667 0.667 0.000
Tm 0.199 0.533 0.403
Tm 0.333 0.333 0.000
Tm 0.866 0.199 0.403
Tm 0.533 0.866 0.403
Pm 0.000 0.000 0.000

***

(two)
Compound: PmY6Tm8
Source: the Alexandria database
Functional: GGA-PBE
Structure: optimized geometry

space-group type = No. 148
N(E_F) = 23.08 states/eV per cell

Unit cell a=8.994 b=8.994 c=8.565 alpha=58.33 beta=58.33 gamma=60.00
Atoms (fractional coordinates):
Y 0.889 0.774 0.876
Y 0.461 0.889 0.876
Y 0.111 0.226 0.124
Y 0.226 0.539 0.124
Y 0.539 0.111 0.124
Y 0.774 0.461 0.876
Tm 0.424 0.424 0.728
Tm 0.257 0.280 0.574
Tm 0.280 0.890 0.574
Tm 0.576 0.576 0.272
Tm 0.743 0.720 0.426
Tm 0.110 0.743 0.426
Tm 0.720 0.110 0.426
Tm 0.890 0.257 0.574
Pm 0.000 0.000 0.000

***

The structure with the most favorable energy is (one); the runner-up is 115 meV per atom above it.

***

(one)
Compound: Pm2Y4Tm
Source: the Alexandria database
Functional: GGA-PBE
Structure: optimized geometry

space-group type = No. 1
N(E_F) = 23.94 states/eV per cell

Unit cell a=9.566 b=8.792 c=8.432 alpha=138.59 beta=91.58 gamma=96.25
Atoms (fractional coordinates):
Y 0.045 0.941 0.092
Y 0.555 0.809 0.478
Y 0.911 0.044 0.779
Y 0.331 0.727 0.724
Y 0.684 0.684 0.784
Y 0.200 0.853 0.440
Y 0.406 0.115 0.327
Y 0.848 0.598 0.123
Pm 0.628 0.248 0.120
Pm 0.771 0.147 0.462
Pm 0.489 0.392 0.869
Pm 0.139 0.406 0.767
Tm 0.980 0.495 0.438
Tm 0.262 0.290 0.097

***

(two)
Compound: Pm2Y4Tm
Source: the Alexandria database
Functional: GGA-PBE
Structure: optimized geometry

space-group type = No. 8
N(E_F) = 12.10 states/eV per cell

Unit cell a=3.631 b=3.631 c=20.201 alpha=95.17 beta=90.00 gamma=120.00
Site moments in Bohr magnetons follow the coordinates.
Atoms (fractional coordinates):
Tm 0.810 0.621 0.668  0.13
Y 0.000 0.999 0.239  0.00
Y 0.904 0.809 0.949  0.03
Y 0.430 0.860 0.529  0.02
Y 0.524 0.048 0.807  0.08
Pm 0.714 0.429 0.383  0.00
Pm 0.619 0.237 0.093  -0.02

***

The structure with the most favorable energy is (two); the runner-up is 61 meV per atom above it.

***

(one)
Compound: PmY3Tm6
Source: the Alexandria database
Functional: GGA-PBE
Structure: optimized geometry

space-group type = No. 36
N(E_F) = 28.18 states/eV per cell

Unit cell a=6.127 b=10.895 c=10.895 alpha=119.46 beta=90.00 gamma=90.00
Atoms (fractional coordinates):
Y 0.459 0.281 0.065
Y 0.459 0.935 0.719
Y 0.568 0.608 0.392
Y 0.068 0.392 0.608
Y 0.959 0.719 0.935
Y 0.959 0.065 0.281
Tm 0.365 0.035 0.458
Tm 0.026 0.713 0.617
Tm 0.526 0.617 0.713
Tm 0.526 0.287 0.383
Tm 0.365 0.542 0.965
Tm 0.138 0.714 0.286
Tm 0.924 0.048 0.952
Tm 0.424 0.952 0.048
Tm 0.865 0.458 0.035
Tm 0.865 0.965 0.542
Tm 0.026 0.383 0.287
Tm 0.638 0.286 0.714
Pm 0.656 0.791 0.209
Pm 0.156 0.209 0.791

***

(two)
Compound: PmY3Tm6
Source: the Alexandria database
Functional: GGA-PBE
Structure: optimized geometry

space-group type = No. 146
N(E_F) = 19.95 states/eV per cell

Unit cell a=9.769 b=9.769 c=6.832 alpha=44.36 beta=44.36 gamma=60.00
Atoms (fractional coordinates):
Tm 0.907 0.570 0.288
Tm 0.735 0.071 0.785
Tm 0.235 0.907 0.288
Tm 0.071 0.409 0.785
Tm 0.409 0.735 0.785
Tm 0.570 0.235 0.288
Y 0.395 0.395 0.816
Y 0.639 0.639 0.082
Y 0.142 0.142 0.573
Pm 0.897 0.897 0.310

***

The structure with the most favorable energy is (one); the runner-up is 168 meV per atom above it.